Record 1
AcEr4Tl4: optimized geometry, PBE.

a b c (Å): 6.1233 10.0502 10.0502
angles (deg): 90.00 90.00 90.00
Sites, in units of the cell vectors:
Ac: 0.0000 0.0000 0.0000
Ac: 0.5000 0.5000 0.5000
Er: 0.3989 0.3467 0.8912
Er: 0.8989 0.6088 0.8467
Er: 0.3989 0.6533 0.1088
Er: 0.1011 0.1533 0.6088
Er: 0.6011 0.8912 0.6533
Er: 0.1011 0.8467 0.3912
Er: 0.8989 0.3912 0.1533
Er: 0.6011 0.1088 0.3467
Tl: 0.5922 0.8028 0.3526
Tl: 0.5922 0.1972 0.6474
Tl: 0.0922 0.8526 0.6972
Tl: 0.9078 0.3028 0.8526
Tl: 0.9078 0.6972 0.1474
Tl: 0.4078 0.3526 0.1972
Tl: 0.4078 0.6474 0.8028
Tl: 0.0922 0.1474 0.3028

E_tot: -3.6188 eV per atom
Fermi-level density of states: 15.94 states/eV/cell
Space group: P4_2/n, No. 86
Magnetization: 0.0 μB per cell



Record 2
AcErTl4: optimized geometry, PBE.

a b c (Å): 6.3555 6.3555 6.3555
angles (deg): 60.00 60.00 60.00
Sites, in units of the cell vectors:
Ac: 0.2500 0.2500 0.2500
Tl: 0.6252 0.6252 0.1243
Tl: 0.6252 0.1243 0.6252
Tl: 0.6252 0.6252 0.6252
Tl: 0.1243 0.6252 0.6252
Er: 0.0000 0.0000 0.0000

E_tot: -3.1138 eV per atom
Fermi-level density of states: 5.37 states/eV/cell
Space group: F-43m, No. 216
ΔE to the lowest computed polymorph: 0.153 eV per atom
Magnetization: 0.0 μB per cell